Crystalline CdIr3Pd at its relaxed geometry, computed with PBEsol.

Lattice parameters (Å, degrees): 4.6935 4.6935 4.6935 90.00 90.00 90.00
Last column: nearest neighbours and their distance in Å.
Positions (direct):
Cd (0.0000, 0.0000, 0.0000)  12 Ir 3.32
Ir (0.0000, 0.5000, 0.5000)  2 Pd 2.35
Ir (0.5000, 0.0000, 0.5000)  2 Pd 2.35
Ir (0.5000, 0.5000, 0.0000)  2 Pd 2.35
Pd (0.5000, 0.5000, 0.5000)  6 Ir 2.35

Output
The value obtained for the formation energy is 2.07 eV per atom. The value obtained for the density of states at the Fermi level is 5.69 states/eV/f.u. The value obtained for the raw total energy is -26.3 eV per formula unit.

Crystalline In2Tc2P at its relaxed geometry, computed with PBEsol.

Lattice parameters (Å, degrees): 3.6690 3.6690 13.4197 90.00 90.00 90.00
Last column: nearest neighbours and their distance in Å.
Positions (direct):
In (0.0000, 0.5000, 0.2500)  4 In 2.59, 4 Tc 2.84
In (0.0000, 0.5000, 0.7500)  4 In 2.59, 4 Tc 2.84
In (0.5000, 0.0000, 0.2500)  4 In 2.59, 4 Tc 2.84
In (0.5000, 0.0000, 0.7500)  4 In 2.59, 4 Tc 2.84
Tc (0.0000, 0.0000, 0.0884)  1 Tc 2.37
Tc (0.0000, 0.0000, 0.9116)  1 Tc 2.37
Tc (0.5000, 0.5000, 0.4116)  1 Tc 2.37
Tc (0.5000, 0.5000, 0.5884)  1 Tc 2.37
P (0.0000, 0.0000, 0.5000)  8 Tc 2.85
P (0.5000, 0.5000, 0.0000)  8 Tc 2.85

Output
The value obtained for the formation energy is 0.80 eV per atom. The value obtained for the density of states at the Fermi level is 4.82 states/eV/f.u. The value obtained for the raw total energy is -30.3 eV per formula unit.

Crystalline SrBeCd2 at its relaxed geometry, computed with PBEsol.

Lattice parameters (Å, degrees): 3.6509 4.2290 6.2537 90.00 104.73 90.00
Last column: nearest neighbours and their distance in Å.
Positions (direct):
Sr (0.0000, 0.0000, 0.0000)  2 Be 3.19, 8 Cd 3.33-3.40
Be (0.5000, 0.0000, 0.5000)  4 Cd 2.55
Cd (0.3490, 0.5000, 0.6903)  2 Be 2.55
Cd (0.6510, 0.5000, 0.3097)  2 Be 2.55

Output
The value obtained for the formation energy is 0.14 eV per atom. The value obtained for the density of states at the Fermi level is 1.88 states/eV/f.u. The value obtained for the raw total energy is -7.7 eV per formula unit.

Crystalline CuAu at its relaxed geometry, computed with PBEsol.

Lattice parameters (Å, degrees): 2.7563 4.5397 4.6125 90.00 90.00 90.00
Last column: nearest neighbours and their distance in Å.
Positions (direct):
Cu (0.2500, 0.2500, 0.0963)  6 Au 2.62-2.75, 6 Cu 2.76-2.80
Cu (0.7500, 0.7500, 0.9037)  6 Au 2.62-2.75, 6 Cu 2.76-2.80
Au (0.2500, 0.7500, 0.3875)  6 Cu 2.62-2.75, 6 Au 2.76-2.85
Au (0.7500, 0.2500, 0.6125)  6 Cu 2.62-2.75, 6 Au 2.76-2.85

Output
The value obtained for the formation energy is 0.02 eV per atom. The value obtained for the density of states at the Fermi level is 0.77 states/eV/f.u. The value obtained for the raw total energy is -8.2 eV per formula unit.

Crystalline GaH2PtAu at its relaxed geometry, computed with PBEsol.

Lattice parameters (Å, degrees): 3.4810 3.4810 5.4889 90.00 90.00 90.00
Last column: nearest neighbours and their distance in Å.
Positions (direct):
Ga (0.0000, 0.0000, 0.0000)  4 Pt 2.46
H (0.0000, 0.5000, 0.5000)  2 Au 1.74
H (0.5000, 0.0000, 0.5000)  2 Au 1.74
Pt (0.5000, 0.5000, 0.0000)  4 Ga 2.46, 2 Au 2.74
Au (0.5000, 0.5000, 0.5000)  4 H 1.74

Output
The value obtained for the density of states at the Fermi level is 1.13 states/eV/f.u. The value obtained for the raw total energy is -20.6 eV per formula unit.

Crystalline ZrAg2Os at its relaxed geometry, computed with PBEsol.

Lattice parameters (Å, degrees): 2.8195 2.8195 29.0712 90.00 90.00 120.00
Last column: nearest neighbours and their distance in Å.
Positions (direct):
Zr (0.0000, 0.0000, 0.0000)  6 Zr 2.82, 3 Os 2.88, 3 Ag 3.06
Zr (0.3333, 0.6667, 0.6667)  6 Zr 2.82, 3 Os 2.88, 3 Ag 3.06
Zr (0.6667, 0.3333, 0.3333)  6 Zr 2.82, 3 Os 2.88, 3 Ag 3.06
Ag (0.0000, 0.0000, 0.5043)  9 Ag 2.82-2.88, 3 Os 2.85
Ag (0.0000, 0.0000, 0.7557)  9 Ag 2.82-2.88, 3 Zr 3.06
Ag (0.3333, 0.6667, 0.1709)  9 Ag 2.82-2.88, 3 Os 2.85
Ag (0.3333, 0.6667, 0.4224)  9 Ag 2.82-2.88, 3 Zr 3.06
Ag (0.6667, 0.3333, 0.0890)  9 Ag 2.82-2.88, 3 Zr 3.06
Ag (0.6667, 0.3333, 0.8376)  9 Ag 2.82-2.88, 3 Os 2.85
Os (0.0000, 0.0000, 0.2515)  6 Os 2.82, 3 Ag 2.85, 3 Zr 2.88
Os (0.3333, 0.6667, 0.9181)  6 Os 2.82, 3 Ag 2.85, 3 Zr 2.88
Os (0.6667, 0.3333, 0.5848)  6 Os 2.82, 3 Ag 2.85, 3 Zr 2.88

Output
The value obtained for the formation energy is 0.26 eV per atom. The value obtained for the density of states at the Fermi level is 3.20 states/eV/f.u. The value obtained for the raw total energy is -26.9 eV per formula unit.

Crystalline AlSiH9C3Cl2O at its relaxed geometry, computed with PBEsol.

Lattice parameters (Å, degrees): 6.9226 9.2924 15.1352 90.00 104.88 90.00
Last column: nearest neighbours and their distance in Å.
Positions (direct):
Al (0.0353, 0.0687, 0.4277)  2 O 1.82
Al (0.0353, 0.4313, 0.9277)  2 O 1.82
Al (0.9647, 0.5687, 0.0723)  2 O 1.82
Al (0.9647, 0.9313, 0.5723)  2 O 1.82
Si (0.1959, 0.2351, 0.6208)  1 O 1.73, 3 C 1.85-1.86
Si (0.1959, 0.2649, 0.1208)  1 O 1.73, 3 C 1.85-1.86
Si (0.8041, 0.7351, 0.8792)  1 O 1.73, 3 C 1.85-1.86
Si (0.8041, 0.7649, 0.3792)  1 O 1.73, 3 C 1.85-1.86
H (0.0440, 0.0437, 0.1621)  1 C 1.10
H (0.0440, 0.4563, 0.6621)  1 C 1.10
H (0.1000, 0.6137, 0.4446)  1 C 1.10
H (0.1000, 0.8863, 0.9446)  1 C 1.10
H (0.1166, 0.6950, 0.3393)  1 C 1.10
H (0.1166, 0.8050, 0.8393)  1 C 1.10
H (0.2035, 0.0939, 0.7606)  1 C 1.10
H (0.2035, 0.4061, 0.2606)  1 C 1.10
H (0.2977, 0.1378, 0.9954)  1 C 1.10
H (0.2977, 0.3622, 0.4954)  1 C 1.10
H (0.3836, 0.2343, 0.7829)  1 C 1.10
H (0.3836, 0.2657, 0.2829)  1 C 1.10
H (0.4316, 0.0741, 0.7265)  1 C 1.10
H (0.4316, 0.4259, 0.2265)  1 C 1.10
H (0.4472, 0.0862, 0.1046)  1 C 1.10
H (0.4472, 0.4138, 0.6046)  1 C 1.10
H (0.4917, 0.2452, 0.5567)  1 C 1.10
H (0.4917, 0.2548, 0.0567)  1 C 1.10
H (0.5083, 0.7452, 0.9433)  1 C 1.10
H (0.5083, 0.7548, 0.4433)  1 C 1.10
H (0.5528, 0.5862, 0.3954)  1 C 1.10
H (0.5528, 0.9138, 0.8954)  1 C 1.10
H (0.5684, 0.5741, 0.7735)  1 C 1.10
H (0.5684, 0.9259, 0.2735)  1 C 1.10
H (0.6164, 0.7343, 0.7171)  1 C 1.10
H (0.6164, 0.7657, 0.2171)  1 C 1.10
H (0.7023, 0.6378, 0.5046)  1 C 1.10
H (0.7023, 0.8622, 0.0046)  1 C 1.10
H (0.7965, 0.5939, 0.7394)  1 C 1.10
H (0.7965, 0.9061, 0.2394)  1 C 1.10
H (0.8834, 0.1950, 0.1607)  1 C 1.10
H (0.8834, 0.3050, 0.6607)  1 C 1.10
H (0.9000, 0.1137, 0.0554)  1 C 1.10
H (0.9000, 0.3863, 0.5554)  1 C 1.10
H (0.9560, 0.5437, 0.3379)  1 C 1.10
H (0.9560, 0.9563, 0.8379)  1 C 1.10
C (0.0147, 0.6432, 0.3750)  3 H 1.10
C (0.0147, 0.8568, 0.8750)  3 H 1.10
C (0.3146, 0.1510, 0.7327)  3 H 1.10
C (0.3146, 0.3490, 0.2327)  3 H 1.10
C (0.3742, 0.1789, 0.0639)  3 H 1.10
C (0.3742, 0.3211, 0.5639)  3 H 1.10
C (0.6258, 0.6789, 0.4361)  3 H 1.10
C (0.6258, 0.8211, 0.9361)  3 H 1.10
C (0.6854, 0.6510, 0.7673)  3 H 1.10
C (0.6854, 0.8490, 0.2673)  3 H 1.10
C (0.9853, 0.1432, 0.1250)  3 H 1.10
C (0.9853, 0.3568, 0.6250)  3 H 1.10
Cl (0.1503, 0.7340, 0.1426)  1 Al 2.11
Cl (0.1503, 0.7660, 0.6426)  1 Al 2.11
Cl (0.2821, 0.0183, 0.3758)  1 Al 2.11
Cl (0.2821, 0.4817, 0.8758)  1 Al 2.11
Cl (0.7179, 0.5183, 0.1242)  1 Al 2.11
Cl (0.7179, 0.9817, 0.6242)  1 Al 2.11
Cl (0.8497, 0.2340, 0.3574)  1 Al 2.11
Cl (0.8497, 0.2660, 0.8574)  1 Al 2.11
O (0.0933, 0.0928, 0.5508)  1 Si 1.73, 2 Al 1.82
O (0.0933, 0.4072, 0.0508)  1 Si 1.73, 2 Al 1.82
O (0.9067, 0.5928, 0.9492)  1 Si 1.73, 2 Al 1.82
O (0.9067, 0.9072, 0.4492)  1 Si 1.73, 2 Al 1.82

Output
The value obtained for the density of states at the Fermi level is 0.00 states/eV/f.u. The value obtained for the raw total energy is -89.2 eV per formula unit.

Crystalline LiNiOs at its relaxed geometry, computed with PBEsol.

Lattice parameters (Å, degrees): 4.0571 4.0571 2.4618 90.00 90.00 120.00
Last column: nearest neighbours and their distance in Å.
Positions (direct):
Li (0.0000, 0.0000, 0.0000)  3 Ni 2.34, 2 Li 2.46
Ni (0.6667, 0.3333, 0.0048)  3 Li 2.34, 2 Ni 2.46
Os (0.3333, 0.6667, 0.5029)  2 Os 2.46, 6 Li 2.64-2.65, 6 Ni 2.64-2.65

Output
The value obtained for the formation energy is 0.30 eV per atom. The value obtained for the density of states at the Fermi level is 3.53 states/eV/f.u. The value obtained for the raw total energy is -19.4 eV per formula unit.

Crystalline Nd3S4 at its relaxed geometry, computed with PBEsol.

Lattice parameters (Å, degrees): 7.3174 7.3174 7.3174 109.47 109.47 109.47
Last column: nearest neighbours and their distance in Å.
Positions (direct):
Nd (0.1250, 0.7500, 0.8750)  8 S 2.86-2.99
Nd (0.2500, 0.6250, 0.3750)  8 S 2.86-2.99
Nd (0.3750, 0.2500, 0.6250)  8 S 2.86-2.99
Nd (0.6250, 0.3750, 0.2500)  8 S 2.86-2.99
Nd (0.7500, 0.8750, 0.1250)  8 S 2.86-2.99
Nd (0.8750, 0.1250, 0.7500)  8 S 2.86-2.99
S (0.0000, 0.3480, 0.5000)  6 Nd 2.86-2.99
S (0.0000, 0.8480, 0.5000)  6 Nd 2.86-2.99
S (0.1520, 0.1520, 0.1520)  6 Nd 2.86-2.99
S (0.3480, 0.5000, 0.0000)  6 Nd 2.86-2.99
S (0.5000, 0.0000, 0.3480)  6 Nd 2.86-2.99
S (0.5000, 0.0000, 0.8480)  6 Nd 2.86-2.99
S (0.6520, 0.6520, 0.6520)  6 Nd 2.86-2.99
S (0.8480, 0.5000, 0.0000)  6 Nd 2.86-2.99

Output
The value obtained for the density of states at the Fermi level is 3.93 states/eV/f.u. The value obtained for the raw total energy is -47.8 eV per formula unit.

Crystalline YTl2Au at its relaxed geometry, computed with PBEsol.

Lattice parameters (Å, degrees): 3.7157 4.8903 5.3584 90.00 96.13 90.00
Last column: nearest neighbours and their distance in Å.
Positions (direct):
Y (0.0000, 0.0000, 0.0000)  4 Tl 3.09, 4 Au 3.09-3.42
Tl (0.2981, 0.5000, 0.7347)  2 Au 2.89, 3 Tl 3.06-3.17, 2 Y 3.09
Tl (0.7019, 0.5000, 0.2653)  2 Au 2.89, 3 Tl 3.06-3.17, 2 Y 3.09
Au (0.5000, 0.0000, 0.5000)  4 Tl 2.89, 2 Y 3.09

Output
The value obtained for the formation energy is -0.29 eV per atom. The value obtained for the density of states at the Fermi level is 1.91 states/eV/f.u. For the energy relative to the lowest polymorph listed for this composition, the calculation gives 57.9 meV/atom. The value obtained for the raw total energy is -17.2 eV per formula unit.